## MnCNO2 (PBE+U)

Data for a relaxed MnCNO2 crystal.

a b c (Å): 4.171 4.171 2.558
angles (deg): 90.00 90.00 90.00
Last column: magnetic moment on the atom in μB.
Positions (direct):
O 0.000 0.500 0.000  -0.24
O 0.500 0.000 0.000  -0.24
N 0.000 0.000 0.500  -0.04
C 0.000 0.000 0.000  0.04
Mn 0.500 0.500 0.500  4.65

Properties
Calculated total energy (eV per atom): -6.435
V (Å³ per atom): 8.90
ρ (g cm⁻³): 4.2
Total magnetization (μB per atom): 0.8586
Fermi-level density of states (states/eV/cell): 2.1